1.
The following is a GGA-PBE calculation of an optimized crystal structure of Pm2Er5Sc2, from the Alexandria database.

Values from the calculation:
V: 29.87 Å³/atom
total magnetization: 0.00 μB per formula unit
ΔE_f: 44.9 meV/atom
offset from the most stable computed form: 0.0000 eV/atom

Lattice parameters (Å, degrees): 6.038 8.508 10.442 35.35 61.23 61.94
Fractional positions:
Er  0.007  0.331  0.330
Er  0.329  0.119  0.109
Er  0.000  0.000  0.000
Er  0.993  0.669  0.670
Er  0.671  0.881  0.891
Pm  0.662  0.564  0.553
Pm  0.338  0.436  0.447
Sc  0.663  0.224  0.222
Sc  0.337  0.776  0.778



2.
The following is a GGA-PBE calculation of an optimized crystal structure of CaSm2Rh3, from the Alexandria database.

Values from the calculation:
V: 21.09 Å³/atom
total magnetization: 0.00 μB per formula unit
ΔE_f: -618.5 meV/atom
offset from the most stable computed form: 0.0048 eV/atom

Lattice parameters (Å, degrees): 3.459 3.459 10.575 90.00 90.00 90.00
Fractional positions:
Ca  0.500  0.500  0.500
Sm  0.500  0.500  0.831
Sm  0.500  0.500  0.169
Rh  0.000  0.000  0.676
Rh  0.000  0.000  0.000
Rh  0.000  0.000  0.324



3.
The following is a GGA-PBE calculation of an optimized crystal structure of Pm5NdAg6, from the Alexandria database.

Values from the calculation:
V: 26.09 Å³/atom
total magnetization: 0.00 μB per formula unit
ΔE_f: -267.6 meV/atom

Lattice parameters (Å, degrees): 5.319 7.380 8.409 90.00 71.56 90.00
Fractional positions:
Ag  0.500  0.748  0.000
Ag  0.168  0.749  0.665
Ag  0.832  0.251  0.335
Ag  0.832  0.749  0.335
Ag  0.500  0.252  0.000
Ag  0.168  0.251  0.665
Nd  0.000  0.000  0.000
Pm  0.334  0.500  0.333
Pm  0.000  0.500  0.000
Pm  0.333  0.000  0.334
Pm  0.666  0.500  0.667
Pm  0.667  0.000  0.666



4.
The following is a GGA-PBE calculation of an optimized crystal structure of NaEuMg2, from the Alexandria database.

Values from the calculation:
V: 30.85 Å³/atom
total magnetization: 7.86 μB per formula unit
ΔE_f: 69.1 meV/atom
offset from the most stable computed form: 0.0204 eV/atom

Lattice parameters (Å, degrees): 5.588 5.588 5.588 60.00 60.00 60.00
Site moments in Bohr magnetons follow the coordinates.
Fractional positions:
Mg  0.250  0.250  0.250  0.02
Mg  0.750  0.750  0.750  0.02
Eu  0.000  0.000  0.000  6.99
Na  0.500  0.500  0.500  0.01



5.
The following is a GGA-PBE calculation of an optimized crystal structure of NaAl2Sn, from the Alexandria database.

Values from the calculation:
V: 21.40 Å³/atom
total magnetization: 0.00 μB per formula unit
ΔE_f: 109.1 meV/atom

Lattice parameters (Å, degrees): 4.542 4.341 4.341 90.00 90.00 90.00
Fractional positions:
Al  0.000  0.500  0.000
Al  0.000  0.000  0.500
Na  0.500  0.000  0.000
Sn  0.500  0.500  0.500



6.
The following is a GGA-PBE calculation of an optimized crystal structure of YCoSn3, from the Alexandria database.

Values from the calculation:
V: 38.32 Å³/atom
total magnetization: 2.73 μB per formula unit
ΔE_f: 1166.2 meV/atom

Lattice parameters (Å, degrees): 5.765 5.765 5.765 90.00 90.00 90.00
Site moments in Bohr magnetons follow the coordinates.
Fractional positions:
Sn  0.500  0.000  0.000  0.02
Sn  0.000  0.000  0.500  0.06
Sn  0.000  0.500  0.000  0.02
Y  0.000  0.000  0.000  0.08
Co  0.500  0.500  0.500  2.25



7.
The following is a GGA-PBE calculation of an optimized crystal structure of Er4CoCl5, from the Alexandria database.

Values from the calculation:
V: 31.02 Å³/atom
total magnetization: 0.00 μB per formula unit
formation energy from raw total energies: -1548 meV/atom
offset from the most stable computed form: 0.0274 eV/atom

Lattice parameters (Å, degrees): 3.745 8.112 10.382 89.66 100.39 90.00
Fractional positions:
Er  0.627  0.998  0.255
Er  0.000  0.784  0.001
Er  0.373  0.002  0.745
Er  0.000  0.216  0.999
Cl  0.152  0.767  0.304
Cl  0.847  0.773  0.693
Cl  0.153  0.227  0.307
Cl  0.500  0.500  0.000
Cl  0.848  0.233  0.696
Co  0.500  0.000  0.000



8.
The following is a GGA-PBE calculation of an optimized crystal structure of NaInBr, from the Alexandria database.

Values from the calculation:
V: 31.03 Å³/atom
total magnetization: 0.00 μB per formula unit
formation energy from raw total energies: -714 meV/atom
offset from the most stable computed form: 0.1340 eV/atom

Lattice parameters (Å, degrees): 3.733 12.811 7.796 90.00 92.94 90.00
Fractional positions:
Na  0.500  0.838  0.500
Na  0.500  0.162  0.500
Na  0.500  0.338  0.000
Na  0.500  0.662  0.000
In  0.888  0.000  0.187
In  0.888  0.500  0.687
In  0.112  0.500  0.313
In  0.112  0.000  0.813
Br  0.000  0.750  0.750
Br  0.000  0.250  0.750
Br  0.000  0.750  0.250
Br  0.000  0.250  0.250



9.
The following is a GGA-PBE calculation of an optimized crystal structure of AsS4N4F5, from the Alexandria database.

Values from the calculation:
V: 18.04 Å³/atom
total magnetization: 0.00 μB per formula unit
formation energy from raw total energies: -645 meV/atom

Lattice parameters (Å, degrees): 11.599 5.837 7.922 70.37 90.00 90.00
Fractional positions:
N  0.750  0.286  0.048
N  0.250  0.251  0.625
N  0.250  0.714  0.952
N  0.085  0.900  0.706
N  0.750  0.749  0.375
N  0.585  0.100  0.294
N  0.415  0.900  0.706
N  0.915  0.100  0.294
S  0.378  0.169  0.605
S  0.129  0.661  0.857
S  0.629  0.339  0.143
S  0.878  0.831  0.395
S  0.371  0.661  0.857
S  0.871  0.339  0.143
S  0.622  0.831  0.395
S  0.122  0.169  0.605
F  0.359  0.064  0.036
F  0.641  0.936  0.964
F  0.640  0.362  0.745
F  0.859  0.936  0.964
F  0.360  0.638  0.255
F  0.750  0.035  0.671
F  0.141  0.064  0.036
F  0.250  0.965  0.329
F  0.860  0.362  0.745
F  0.140  0.638  0.255
As  0.750  0.149  0.851
As  0.250  0.851  0.149



10.
The following is a GGA-PBE calculation of an optimized crystal structure of NaZrSb2, from the Alexandria database.

Values from the calculation:
V: 28.12 Å³/atom
total magnetization: 0.00 μB per formula unit
formation energy from raw total energies: -424 meV/atom
offset from the most stable computed form: 0.0020 eV/atom

Lattice parameters (Å, degrees): 3.909 3.909 8.791 77.15 77.15 60.00
Fractional positions:
Sb  0.259  0.259  0.223
Sb  0.074  0.074  0.777
Na  0.500  0.500  0.500
Zr  0.667  0.667  0.000



11.
The following is a GGA-PBE calculation of an optimized crystal structure of CaFeNi3, from the Alexandria database.

Values from the calculation:
V: 17.14 Å³/atom
total magnetization: 4.40 μB per formula unit
ΔE_f: 415.6 meV/atom
offset from the most stable computed form: 0.0000 eV/atom

Lattice parameters (Å, degrees): 4.409 4.409 4.409 90.00 90.00 90.00
Site moments in Bohr magnetons follow the coordinates.
Fractional positions:
Fe  0.000  0.000  0.000  2.53
Ca  0.500  0.500  0.500  -0.04
Ni  0.500  0.000  0.000  0.49
Ni  0.000  0.500  0.000  0.71
Ni  0.000  0.000  0.500  0.91



12.
The following is a GGA-PBE calculation of an optimized crystal structure of GeBIrCl2, from the Alexandria database.

Values from the calculation:
V: 24.68 Å³/atom
total magnetization: 1.42 μB per formula unit
formation energy from raw total energies: 1388 meV/atom

Lattice parameters (Å, degrees): 5.054 4.831 5.054 90.00 90.00 90.00
Site moments in Bohr magnetons follow the coordinates.
Fractional positions:
B  0.500  0.500  0.500  -0.06
Ge  0.000  0.000  0.000  -0.03
Cl  0.500  0.000  0.000  0.05
Cl  0.000  0.000  0.500  0.06
Ir  0.000  0.500  0.000  1.32



13.
The following is a GGA-PBE calculation of an optimized crystal structure of LaNi2Pt, from the Alexandria database.

Values from the calculation:
V: 18.87 Å³/atom
total magnetization: 0.00 μB per formula unit
ΔE_f: -555.9 meV/atom

Lattice parameters (Å, degrees): 4.324 4.324 5.299 65.69 65.69 60.01
Fractional positions:
Ni  0.441  0.441  0.678
Ni  0.059  0.059  0.822
La  0.250  0.250  0.250
Pt  0.750  0.750  0.750



14.
The following is a GGA-PBE calculation of an optimized crystal structure of TcGeP2, from the Alexandria database.

Values from the calculation:
V: 20.00 Å³/atom
total magnetization: 0.00 μB per formula unit
ΔE_f: 16.7 meV/atom

Lattice parameters (Å, degrees): 5.472 5.472 6.597 65.50 65.50 90.00
Fractional positions:
P  0.105  0.625  0.250
P  0.645  0.125  0.250
P  0.375  0.355  0.750
P  0.875  0.895  0.750
Tc  0.750  0.250  0.500
Tc  0.000  0.000  0.000
Ge  0.250  0.750  0.500
Ge  0.500  0.500  0.000



15.
The following is a GGA-PBE calculation of an optimized crystal structure of ZnAg5, from the Alexandria database.

Values from the calculation:
V: 17.38 Å³/atom
total magnetization: 0.00 μB per formula unit
ΔE_f: 11.5 meV/atom
offset from the most stable computed form: 0.0161 eV/atom

Lattice parameters (Å, degrees): 2.955 7.605 4.729 90.00 90.00 78.80
Fractional positions:
Ag  0.668  0.665  0.000
Ag  0.000  0.000  0.000
Ag  0.336  0.327  0.000
Ag  0.225  0.551  0.500
Ag  0.550  0.899  0.500
Zn  0.888  0.225  0.500